(1)
PmNdPb: relaxed, GGA-PBE.

Properties
Energy above the lowest structure with this stoichiometry ... 2.23 kJ per mole of atoms
Formation enthalpy at 0 K ... -0.43 eV/atom

abc: 5.6390 5.6390 6.7308
angles: 90.00 90.00 120.00
Space group P6_3/mmc (No. 194)
Unique sites:
Pm  0.3333  0.6667  0.2500 [2 per cell]
Nd  0.0000  0.0000  0.0000 [2 per cell]
Pb  0.3333  0.6667  0.7500 [2 per cell]



(2)
Tb2Ge4Os3: relaxed, GGA-PBE.

Properties
Formation enthalpy at 0 K ... -0.32 eV/atom

abc: 5.536 9.704 12.547
angles: 90.00 90.00 90.00
Space group Fmmm (No. 69)
Unique sites:
Tb  0.000  0.000  0.131 [8 per cell]
Ge  0.000  0.167  0.342 [16 per cell]
Os  0.000  0.000  0.500 [4 per cell]
Os  0.250  0.250  0.000 [8 per cell]